The following is a DFT calculation (PBE-GGA) of crystalline BaBi2Se3 at its relaxed geometry.

abc: 12.1090 9.3397 8.3068
angles: 90.00 90.00 90.00
Closest atoms and distances in Å follow each position.
Space group Cmcm (No. 63)
Symmetry-distinct sites (fractional):
1 Ba 0.0000 0.1986 0.2500 [4 per cell]  3 Se 3.16-3.25
2 Bi 0.1784 0.5000 0.0000 [8 per cell]  4 Se 2.82-3.03
3 Se 0.0000 0.4530 0.7500 [4 per cell]  4 Bi 3.03, 1 Ba 3.25
4 Se 0.1701 0.0577 0.7500 [8 per cell]  2 Bi 2.82, 1 Ba 3.16

Calculated values
**Mass density**: 5.60 g/cm3
**Crystal system**: orthorhombic
**Magnetization**: 0.00 μB per atom
**Raw formation energy**: -306 kJ/mol of formula units
**E**: -93.3 eV for the cell shown